[1]
Ga2BiIN at its PBEsol-relaxed geometry. Source: the Alexandria database, functional meta-GGA SCAN.

Computed properties:
SG: No. 123
Total DFT energy (no corrections) (eV for the cell shown): -153.45
Energy relative to the elements, uncorrected (eV per atom): 0.77
Fermi-level density of states (states/eV/cell): 2.40

```
Ga2BiIN
1.0
4.6386 0.0000 0.0000
0.0000 4.6386 0.0000
0.0000 0.0000 4.8679
Ga Bi I N
2 1 1 1
Direct
0.0000 0.5000 0.0000
0.5000 0.0000 0.0000
0.0000 0.0000 0.5000
0.5000 0.5000 0.5000
0.5000 0.5000 0.0000
```

=====

[2]
CrW3O12 at its PBEsol-relaxed geometry. Source: the Alexandria database, functional meta-GGA SCAN.

Computed properties:
SG: No. 1
Total DFT energy (no corrections) (eV for the cell shown): -334.94
Energy relative to the elements, uncorrected (eV per atom): -2.04
Fermi-level density of states (states/eV/cell): 0.00

```
CrW3O12
1.0
5.2690 0.0000 0.0000
0.0427 5.3237 0.0000
0.0665 0.1176 7.4199
Cr W O
1 3 12
Direct
0.0000 0.0000 0.0000
0.0099 0.0955 0.5010
0.4900 0.5010 0.0382
0.4974 0.5997 0.5375
0.0542 0.0421 0.2693
0.2058 0.3307 0.0175
0.2122 0.7928 0.5720
0.2684 0.8436 0.9876
0.2885 0.2904 0.5457
0.4520 0.5981 0.2814
0.5526 0.5487 0.7862
0.7155 0.2600 0.0705
0.7196 0.8604 0.5203
0.7845 0.3577 0.4952
0.7938 0.7787 0.0433
0.9447 0.0814 0.7899
```

=====

- The lowest Fermi-level density of states belongs to which entry?
  CrW3O12

=====

- What is the total DFT energy (no corrections) in the second record?
  -334.94 eV for the cell shown

=====

- Number 2 is which compound?
  CrW3O12